# 1
Entry from Alexandria via LeMat-Bulk: a PBEsol-optimized structure of TaCr2Br (meta-GGA SCAN).

Unit cell a=2.9769 b=2.9769 c=7.0268 alpha=90.00 beta=90.00 gamma=90.00
Last column: magnetic moment on the atom in μB.
Positions (direct):
Ta: 0.0000 0.0000 0.4721  -0.01
Cr: 0.0000 0.0000 0.0583  2.90
Br: 0.5000 0.5000 0.7404  -0.01
Cr: 0.5000 0.5000 0.2293  -2.07

Properties
total DFT energy (no corrections): -121.502 eV per formula unit
formation energy without anion corrections: 0.33 eV per atom
E above lowest polymorph: 0.00 eV per formula unit
space-group type: P4mm



# 2
Entry from Alexandria via LeMat-Bulk: a PBEsol-optimized structure of BeWCl2 (meta-GGA SCAN).

Unit cell a=2.8576 b=4.9640 c=4.9640 alpha=112.73 beta=100.93 gamma=100.93
Positions (direct):
Cl: 0.0000 0.0000 0.5000
W: 0.0000 0.0000 0.0000
Be: 0.0000 0.5000 0.5000
Cl: 0.0000 0.5000 0.0000

Properties
total DFT energy (no corrections): -86.912 eV per formula unit
formation energy without anion corrections: 0.77 eV per atom
E above lowest polymorph: 3.72 eV per formula unit
space-group type: C2/m